Entry 1:
PBE KMg2Ni, relaxed; magnetic moment = 0.000 μB/atom; E_tot = -2.0613 eV per atom; E above lowest polymorph = 318 meV per atom; SG = Fm-3m (225); formation enthalpy at 0 K = 0.456 eV per atom
1.0
-0.002 -4.914 -1.128
-1.540 -3.371 3.418
-4.366 -2.435 -0.651
Ni K Mg
1 1 2
Cartesian
-2.954 -5.360 0.820
0.000 0.000 0.000
-1.477 -2.680 0.410
-4.432 -8.040 1.229

=====

Entry 2:
PBE KMgNi2, relaxed; magnetic moment = 0.186 μB/atom; E_tot = -2.9858 eV per atom; SG = I4_1/amd (141); formation enthalpy at 0 K = 0.578 eV per atom
1.0
4.749 0.000 0.000
0.000 4.749 0.000
2.374 2.374 8.960
Ni K Mg
4 2 2
Cartesian
2.374 1.187 2.240
2.374 3.561 2.240
3.561 4.749 6.720
5.936 4.749 6.720
0.000 0.000 0.000
4.749 2.374 4.480
2.374 2.374 0.000
2.374 4.749 4.480

=====

What did the second record say?
PBE KMgNi2, relaxed; magnetic moment = 0.186 μB/atom; E_tot = -2.9858 eV per atom; SG = I4_1/amd (141); formation enthalpy at 0 K = 0.578 eV per atom
1.0
4.749 0.000 0.000
0.000 4.749 0.000
2.374 2.374 8.960
Ni K Mg
4 2 2
Cartesian
2.374 1.187 2.240
2.374 3.561 2.240
3.561 4.749 6.720
5.936 4.749 6.720
0.000 0.000 0.000
4.749 2.374 4.480
2.374 2.374 0.000
2.374 4.749 4.480